{"formula": "CuMoSeN2", "functional": "PBE", "state": "optimized geometry", "energy_ev_per_fu": -26.6, "de_polymorph_ev_per_atom": 1.179, "e_form_raw_ev_per_fu": 8.43, "sg": "P4/mmm", "lattice": [[-1.9049, 3.1548, 0.6837], [-3.0857, -1.5465, -1.4615], [-1.2032, -1.6570, 4.2938]], "species": ["Mo", "Cu", "Se", "N", "N"], "fractional_positions": [[0.5000, 0.5000, 0.5000], [0.0000, 0.0000, 0.0000], [0.0000, 0.0000, 0.5000], [0.0000, 0.5000, 0.0000], [0.5000, 0.0000, 0.0000]]}